Compound: BaY4W
Source: Alexandria
Functional: PBE-GGA
Structure: optimized geometry

Properties
DFT formation energy   1.02 eV/atom
Spin magnetization   3.8 μB per cell

```
BaY4W
1.0
-5.221 -3.443 1.683
-5.119 -0.265 -3.959
-1.397 -5.499 -3.123
Ba Y W
1 4 1
Direct
0.750 0.750 0.750
0.372 0.372 0.372
0.372 0.372 0.884
0.372 0.884 0.372
0.884 0.372 0.372
0.000 0.000 0.000
```

=====

Compound: SbF4
Source: Alexandria
Functional: PBE-GGA
Structure: optimized geometry

Properties
Spin magnetization   0.0 μB per cell
ΔE_f (raw)   -2143 meV/atom

```
SbF4
1.0
5.145 0.030 0.476
0.025 5.120 -0.679
2.981 1.958 5.047
F Sb
8 2
Direct
0.143 0.282 0.226
0.692 0.153 0.224
0.856 0.392 0.780
0.014 0.739 0.222
0.309 0.259 0.782
0.441 0.713 0.782
0.560 0.607 0.221
0.992 0.846 0.774
0.496 0.001 0.002
0.999 0.500 0.001
```

=====

Compound: CsBaOsO6
Source: Alexandria
Functional: PBE-GGA
Structure: optimized geometry

Properties
Spin magnetization   1.0 μB per cell
ΔE_f (raw)   -1407 meV/atom

```
CsBaOsO6
1.0
6.145 -0.073 -0.090
3.005 5.076 0.148
-0.076 0.181 4.979
O Cs Os Ba
6 1 1 1
Direct
0.424 0.019 0.751
0.198 0.631 0.306
0.631 0.181 0.385
0.502 0.436 0.804
0.049 0.514 0.751
0.190 0.171 0.371
0.671 0.678 0.255
0.334 0.357 0.554
0.000 0.014 0.823
```

=====

Compound: Ho2Sc8Sn
Source: Alexandria
Functional: PBE-GGA
Structure: optimized geometry

Properties
DFT formation energy   -0.01 eV/atom
Spin magnetization   0.3 μB per cell

```
Ho2Sc8Sn
1.0
0.974 -4.814 2.773
8.920 -4.436 -1.224
9.113 -1.410 3.962
Sc Sn Ho
8 1 2
Direct
0.221 0.519 0.519
0.312 0.091 0.091
0.320 0.089 0.599
0.779 0.481 0.481
0.320 0.599 0.089
0.680 0.401 0.911
0.688 0.909 0.909
0.680 0.911 0.401
0.000 0.000 0.000
0.072 0.716 0.716
0.928 0.284 0.284
```

=====

Compound: BaRe4Ir
Source: Alexandria
Functional: PBE-GGA
Structure: optimized geometry

Properties
DFT formation energy   1.04 eV/atom
Spin magnetization   0.0 μB per cell

```
BaRe4Ir
1.0
0.000 3.815 3.815
3.815 0.000 3.815
3.815 3.815 0.000
Re Ba Ir
4 1 1
Direct
0.374 0.878 0.374
0.878 0.374 0.374
0.374 0.374 0.878
0.374 0.374 0.374
0.750 0.750 0.750
0.000 0.000 0.000
```

=====

Compound: AcLa3C
Source: Alexandria
Functional: PBE-GGA
Structure: optimized geometry

Properties
DFT formation energy   0.08 eV/atom
Spin magnetization   0.0 μB per cell

```
AcLa3C
1.0
-2.344 -1.160 -4.714
-0.808 -5.068 1.649
-4.786 1.424 2.030
C La Ac
1 3 1
Direct
0.000 0.000 0.000
0.000 0.500 0.000
0.000 0.000 0.500
0.500 0.000 0.000
0.500 0.500 0.500
```

=====

Question: What is the spin magnetization in the fourth record?
Answer: 0.3 μB per cell